Compound: HoCd8Ag2
Source: Alexandria
Functional: PBE
Structure: optimized geometry

Cell: 7.5398 7.5398 5.3059 Å, 100.19 100.19 114.81°
Fractional positions:
Ho  0.0000  0.0000  0.0000
Cd  0.0853  0.3195  0.6321
Cd  0.2449  0.7551  0.0000
Cd  0.3195  0.0853  0.6321
Cd  0.4019  0.4019  0.1956
Cd  0.5981  0.5981  0.8044
Cd  0.6805  0.9147  0.3679
Cd  0.7551  0.2449  0.0000
Cd  0.9147  0.6805  0.3679
Ag  0.3082  0.6918  0.5000
Ag  0.6918  0.3082  0.5000

Output
Symmetry: C2/m
DFT formation energy: 0 kJ per mole of atoms